No. 1
# CdTePb2 PBE-GGA relaxed
# crystal system = tetragonal
# distance to the lowest polymorph of the same formula = 0.034 eV per atom
# energy relative to the elements, uncorrected = -0.033 eV/atom
data_CdTePb2
_space_group_name_H-M_alt 'P 4/m m m'
_space_group_IT_number 123
_space_group_name_Hall '-P 4 2'
_cell_length_a 5.421
_cell_length_b 5.421
_cell_length_c 4.089
_cell_angle_alpha 90.00
_cell_angle_beta 90.00
_cell_angle_gamma 90.00
loop_
_atom_site_label
_atom_site_type_symbol
_atom_site_fract_x
_atom_site_fract_y
_atom_site_fract_z
_atom_site_occupancy
Cd1 Cd 0.000 0.000 0.000 1
Te1 Te 0.500 0.500 0.000 1
Pb1 Pb 0.000 0.500 0.500 1

=====

No. 2
# K2ReBr5O PBE-GGA relaxed
# crystal system = tetragonal
# energy relative to the elements, uncorrected = -1.100 eV/atom
data_K2ReBr5O
_space_group_name_H-M_alt 'I 4 m m'
_space_group_IT_number 107
_space_group_name_Hall 'I 4 -2'
_cell_length_a 7.748
_cell_length_b 7.748
_cell_length_c 9.487
_cell_angle_alpha 90.00
_cell_angle_beta 90.00
_cell_angle_gamma 90.00
loop_
_atom_site_label
_atom_site_type_symbol
_atom_site_fract_x
_atom_site_fract_y
_atom_site_fract_z
_atom_site_occupancy
K1 K 0.000 0.500 0.000 1
Re1 Re 0.000 0.000 0.272 1
Br1 Br 0.000 0.000 0.996 1
Br2 Br 0.233 0.233 0.251 1
O1 O 0.000 0.000 0.452 1

=====

No. 3
# Pr2Nd2Dy5 PBE-GGA relaxed
# crystal system = orthorhombic
# distance to the lowest polymorph of the same formula = 0.057 eV per atom
# energy of formation = 197 meV/atom
data_Pr2Nd2Dy5
_space_group_name_H-M_alt 'I m a 2'
_space_group_IT_number 46
_cell_length_a 15.064
_cell_length_b 11.987
_cell_length_c 6.779
_cell_angle_alpha 90.00
_cell_angle_beta 90.00
_cell_angle_gamma 90.00
loop_
_space_group_symop_operation_xyz
'x,y,z'
'-x,-y,z'
'-x+1/2,y,z'
'x+1/2,-y,z'
'x+1/2,y+1/2,z+1/2'
'-x+1/2,-y+1/2,z+1/2'
'-x,y+1/2,z+1/2'
'x,-y+1/2,z+1/2'
loop_
_atom_site_label
_atom_site_type_symbol
_atom_site_fract_x
_atom_site_fract_y
_atom_site_fract_z
_atom_site_occupancy
Pr1 Pr 0.000 0.000 0.000 1
Pr2 Pr 0.250 0.008 0.910 1
Nd1 Nd 0.126 0.502 0.955 1
Dy1 Dy 0.053 0.743 0.308 1
Dy2 Dy 0.142 0.234 0.119 1
Dy3 Dy 0.250 0.742 0.104 1

=====

Number 1: uncorrected energy -2.901 eV/atom. Number 2: uncorrected energy -4.207 eV/atom. Number 3: uncorrected energy -4.481 eV/atom.